Compound: NdSm2Fe
Source: Alexandria via LeMat-Bulk
Functional: GGA-PBE
Structure: optimized geometry

Cell: 3.514 3.514 9.030 Å, 90.00 90.00 90.00°
Site moments in Bohr magnetons follow the coordinates.
Fractional coordinates of all 4 atoms:
Nd 0.500 0.500 0.500  0.14
Fe 0.500 0.500 0.000  2.06
Sm 0.000 0.000 0.816  -0.19
Sm 0.000 0.000 0.184  -0.19

Values from the calculation:
energy = -22.10 eV/cell
N(E_F) = 1.6020 states/eV per atom
symmetry = P4/mmm (123)
total magnetic moment = 0.44 μB/atom
calculated volume = 111.5 Å³/cell
DFT formation energy = 142 meV per atom
energy above the most stable polymorph in this dataset = 0 meV per atom